DFT (PBE) results for a relaxed Ba2La3 crystal.

POSCAR file:
```
Ba2La3
1.0
16.4627 -1.9584 0.0080
16.4627 1.9584 0.0080
16.2281 0.0000 3.3919
Ba La
2 3
Cartesian
19.7189 0.0000 1.3672
29.4346 0.0000 2.0408
0.0000 0.0000 0.0000
39.5364 0.0000 2.7411
9.6171 0.0000 0.6668
```

Summary:
symmetry = R-3m, No. 166
magnetization = 0.0 μB/cell
ΔH_f (0 K) = 146.8 meV per atom


DFT (PBE) results for a relaxed Cu3SeO crystal.

POSCAR file:
```
Cu3SeO
1.0
-2.4393 -3.1792 -0.6629
2.0329 -2.1413 2.7891
-2.5326 1.3433 2.8772
Cu Se O
3 1 1
Cartesian
-1.2663 0.6716 1.4386
-1.2197 -1.5896 -0.3314
1.0164 -1.0707 1.3945
-1.4695 -1.9886 2.5017
0.0000 0.0000 0.0000
```

Summary:
energy relative to the elements, uncorrected = -7 kJ per mole of atoms
symmetry = Pm-3m, No. 221
magnetization = 0.0 μB/cell